1.
# NaBi2Se3

NaBi2Se3 after structural relaxation (GGA-PBE, Alexandria).

abc: 8.290 8.290 7.222
angles: 90.00 90.00 89.84
Sites, in units of the cell vectors:
Na (0.047, 0.953, 0.750)
Na (0.953, 0.047, 0.250)
Bi (0.317, 0.317, 0.000)
Bi (0.317, 0.317, 0.500)
Bi (0.683, 0.683, 0.000)
Bi (0.683, 0.683, 0.500)
Se (0.056, 0.303, 0.750)
Se (0.303, 0.056, 0.250)
Se (0.411, 0.589, 0.250)
Se (0.589, 0.411, 0.750)
Se (0.697, 0.944, 0.750)
Se (0.944, 0.697, 0.250)

Values from the calculation:
crystal system	orthorhombic
ΔE_f (raw)	-0.2783	eV per atom

***

2.
# NaBiSe3

NaBiSe3 after structural relaxation (GGA-PBE, Alexandria).

abc: 5.573 5.573 5.573
angles: 90.00 90.00 90.00
Sites, in units of the cell vectors:
Na (0.000, 0.000, 0.000)
Bi (0.500, 0.500, 0.500)
Se (0.000, 0.500, 0.500)
Se (0.500, 0.000, 0.500)
Se (0.500, 0.500, 0.000)

Values from the calculation:
crystal system	cubic
ΔE_f (raw)	-0.0406	eV per atom

***

3.
# NaBi6Se8

NaBi6Se8 after structural relaxation (GGA-PBE, Alexandria).

abc: 8.125 8.125 8.125
angles: 68.68 68.68 68.68
Sites, in units of the cell vectors:
Na (0.000, 0.000, 0.000)
Bi (0.030, 0.475, 0.737)
Bi (0.263, 0.970, 0.525)
Bi (0.475, 0.737, 0.030)
Bi (0.525, 0.263, 0.970)
Bi (0.737, 0.030, 0.475)
Bi (0.970, 0.525, 0.263)
Se (0.105, 0.808, 0.365)
Se (0.192, 0.635, 0.895)
Se (0.318, 0.318, 0.318)
Se (0.365, 0.105, 0.808)
Se (0.635, 0.895, 0.192)
Se (0.682, 0.682, 0.682)
Se (0.808, 0.365, 0.105)
Se (0.895, 0.192, 0.635)

Values from the calculation:
crystal system	trigonal
ΔE_f (raw)	-0.3173	eV per atom

***

4.
# Na2BiSe

Na2BiSe after structural relaxation (GGA-PBE, Alexandria).

abc: 7.459 7.459 7.459
angles: 90.00 90.00 90.00
Sites, in units of the cell vectors:
Na (0.250, 0.250, 0.250)
Na (0.250, 0.250, 0.750)
Na (0.250, 0.750, 0.250)
Na (0.250, 0.750, 0.750)
Na (0.750, 0.250, 0.250)
Na (0.750, 0.250, 0.750)
Na (0.750, 0.750, 0.250)
Na (0.750, 0.750, 0.750)
Bi (0.000, 0.000, 0.000)
Bi (0.000, 0.500, 0.500)
Bi (0.500, 0.000, 0.500)
Bi (0.500, 0.500, 0.000)
Se (0.000, 0.000, 0.500)
Se (0.000, 0.500, 0.000)
Se (0.500, 0.000, 0.000)
Se (0.500, 0.500, 0.500)

Values from the calculation:
crystal system	cubic
ΔE_f (raw)	-0.3120	eV per atom

***

5.
# NaBi2Se4

NaBi2Se4 after structural relaxation (GGA-PBE, Alexandria).

abc: 7.497 7.497 13.261
angles: 90.00 90.00 147.28
Sites, in units of the cell vectors:
Na (0.097, 0.903, 0.750)
Na (0.903, 0.097, 0.250)
Bi (0.366, 0.634, 0.570)
Bi (0.366, 0.634, 0.930)
Bi (0.634, 0.366, 0.070)
Bi (0.634, 0.366, 0.430)
Se (0.000, 0.000, 0.000)
Se (0.000, 0.000, 0.500)
Se (0.262, 0.738, 0.138)
Se (0.262, 0.738, 0.362)
Se (0.462, 0.538, 0.750)
Se (0.538, 0.462, 0.250)
Se (0.738, 0.262, 0.638)
Se (0.738, 0.262, 0.862)

Values from the calculation:
crystal system	orthorhombic
ΔE_f (raw)	-0.4333	eV per atom

***

6.
# NaBi5Se8

NaBi5Se8 after structural relaxation (GGA-PBE, Alexandria).

abc: 8.715 8.715 8.715
angles: 60.00 60.00 60.00
Sites, in units of the cell vectors:
Na (0.000, 0.000, 0.000)
Bi (0.111, 0.630, 0.630)
Bi (0.250, 0.250, 0.250)
Bi (0.630, 0.111, 0.630)
Bi (0.630, 0.630, 0.111)
Bi (0.630, 0.630, 0.630)
Se (0.382, 0.382, 0.382)
Se (0.382, 0.382, 0.853)
Se (0.382, 0.853, 0.382)
Se (0.406, 0.865, 0.865)
Se (0.853, 0.382, 0.382)
Se (0.865, 0.406, 0.865)
Se (0.865, 0.865, 0.406)
Se (0.865, 0.865, 0.865)

Values from the calculation:
crystal system	cubic
ΔE_f (raw)	-0.4539	eV per atom

***

7.
# Na2BiSe

Na2BiSe after structural relaxation (GGA-PBE, Alexandria).

abc: 8.576 8.576 6.116
angles: 90.00 90.00 90.00
Sites, in units of the cell vectors:
Na (0.200, 0.250, 0.125)
Na (0.250, 0.700, 0.375)
Na (0.250, 0.800, 0.875)
Na (0.300, 0.250, 0.625)
Na (0.700, 0.750, 0.625)
Na (0.750, 0.200, 0.875)
Na (0.750, 0.300, 0.375)
Na (0.800, 0.750, 0.125)
Bi (0.000, 0.000, 0.500)
Bi (0.000, 0.500, 0.750)
Bi (0.500, 0.000, 0.250)
Bi (0.500, 0.500, 0.000)
Se (0.000, 0.000, 0.000)
Se (0.000, 0.500, 0.250)
Se (0.500, 0.000, 0.750)
Se (0.500, 0.500, 0.500)

Values from the calculation:
crystal system	tetragonal
ΔE_f (raw)	-0.4108	eV per atom

***

8.
# Na5BiSe4

Na5BiSe4 after structural relaxation (GGA-PBE, Alexandria).

abc: 9.215 9.215 7.983
angles: 115.61 115.61 28.08
Sites, in units of the cell vectors:
Na (0.000, 0.000, 0.000)
Na (0.324, 0.324, 0.550)
Na (0.325, 0.325, 0.099)
Na (0.675, 0.675, 0.901)
Na (0.676, 0.676, 0.450)
Bi (0.000, 0.000, 0.500)
Se (0.194, 0.194, 0.694)
Se (0.500, 0.500, 0.245)
Se (0.500, 0.500, 0.755)
Se (0.806, 0.806, 0.306)

Values from the calculation:
crystal system	monoclinic
ΔE_f (raw)	-0.8865	eV per atom

***

no.,uncorrected energy (eV per atom)
1,-3.5340
2,-3.1713
3,-3.8161
4,-2.8129
5,-3.7217
6,-3.9253
7,-2.9117
8,-3.3280